No. 1
15
Lattice="4.554 2.629 7.019 -4.554 2.629 7.019 0.000 -5.259 7.019" Properties=species:S:1:pos:R:3 comment="La6Dy8Sc (GGA-PBE, optimized geometry)" e_form_mev_per_atom=109 spacegroup="R-3, No. 148" crystal_system=trigonal pbc="T T T"
La -2.521 -2.192 9.568
La -3.159 1.087 11.489
La 0.638 -3.280 11.489
La -0.638 3.280 9.568
La 3.159 -1.087 9.568
La 2.521 2.192 11.489
Dy 0.000 0.000 1.627
Dy -1.848 0.769 7.622
Dy 0.258 -1.985 7.622
Dy -1.590 -1.216 13.436
Dy 1.590 1.216 7.622
Dy -0.258 1.985 13.436
Dy 1.848 -0.769 13.436
Dy 0.000 0.000 19.431
Sc 0.000 0.000 10.529

***

No. 2
3
Lattice="0.000 3.826 3.826 3.826 0.000 3.826 3.826 3.826 0.000" Properties=species:S:1:pos:R:3 comment="BaCuAg (GGA-PBE, optimized geometry)" e_form_mev_per_atom=371 spacegroup="F-43m, No. 216" crystal_system=cubic polymorph_energy_kj_per_mol_atoms=49.7 pbc="T T T"
Ba 0.000 0.000 0.000
Cu 5.739 5.739 5.739
Ag 1.913 1.913 1.913

***

No. 3
4
Lattice="3.502 0.000 0.000 0.000 5.045 0.000 0.000 0.000 5.579" Properties=species:S:1:pos:R:3 comment="ZrTeBr2 (GGA-PBE, optimized geometry)" spacegroup="Pmmm, No. 47" formation_energy_uncorrected_ev_per_atom=-0.132 crystal_system=orthorhombic polymorph_energy_kj_per_mol_atoms=91.5 pbc="T T T"
Zr 0.000 0.000 0.000
Te 1.751 0.000 2.790
Br 0.000 2.523 2.790
Br 1.751 2.523 0.000

***

No. 4
15
Lattice="3.645 2.104 6.619 -3.645 2.104 6.619 0.000 -4.209 6.619" Properties=species:S:1:pos:R:3 comment="Sn2Pt13 (GGA-PBE, optimized geometry)" e_form_mev_per_atom=165 spacegroup="R-3m, No. 166" crystal_system=trigonal pbc="T T T"
Sn 0.000 0.000 4.715
Sn 0.000 0.000 15.140
Pt 0.000 0.000 0.000
Pt 0.000 -2.571 4.527
Pt -2.227 1.286 4.527
Pt 0.000 -1.516 7.270
Pt -1.313 0.758 7.270
Pt -2.227 -1.286 15.328
Pt -1.313 -0.758 12.586
Pt 1.313 0.758 7.270
Pt 2.227 1.286 4.527
Pt 1.313 -0.758 12.586
Pt 0.000 1.516 12.586
Pt 2.227 -1.286 15.328
Pt 0.000 2.571 15.328

***

No. 5
4
Lattice="0.000 3.536 3.536 3.536 0.000 3.536 3.536 3.536 0.000" Properties=species:S:1:pos:R:3 comment="CaCdAsAu (GGA-PBE, optimized geometry)" e_form_mev_per_atom=-499 spacegroup="F-43m, No. 216" crystal_system=cubic pbc="T T T"
Ca 0.000 0.000 0.000
Cd 3.536 3.536 3.536
As 5.304 5.304 5.304
Au 1.768 1.768 1.768

***

No. 6
10
Lattice="4.213 -5.768 0.000 4.213 5.768 0.000 0.000 0.000 7.245" Properties=species:S:1:pos:R:3 comment="NdSm2ErTm (GGA-PBE, optimized geometry)" e_form_mev_per_atom=387 spacegroup="Cmcm, No. 63" crystal_system=orthorhombic pbc="T T T"
Nd 4.213 3.140 5.434
Nd 4.213 -3.140 1.811
Sm 1.629 0.000 0.000
Sm 1.629 0.000 3.622
Sm 6.797 0.000 0.000
Sm 6.797 0.000 3.622
Er 4.213 3.138 1.811
Er 4.213 -3.138 5.434
Tm 4.213 0.040 5.434
Tm 4.213 -0.040 1.811

***

No. 7
4
Lattice="2.641 0.000 0.000 0.000 2.641 0.000 0.000 0.000 7.664" Properties=species:S:1:pos:R:3 comment="AlCu2Re (GGA-PBE, optimized geometry)" e_form_mev_per_atom=112 spacegroup="P4/mmm, No. 123" crystal_system=tetragonal pbc="T T T"
Al 0.000 0.000 0.000
Cu 1.320 1.320 1.833
Cu 1.320 1.320 5.831
Re 0.000 0.000 3.832

***

No. 8
5
Lattice="4.288 0.000 0.000 0.000 4.288 0.000 0.000 0.000 4.288" Properties=species:S:1:pos:R:3 comment="LaRe3N (GGA-PBE, optimized geometry)" spacegroup="Pm-3m, No. 221" formation_energy_uncorrected_ev_per_atom=0.547 crystal_system=cubic polymorph_energy_kj_per_mol_atoms=0.0 pbc="T T T"
La 0.000 0.000 0.000
Re 0.000 2.144 2.144
Re 2.144 0.000 2.144
Re 2.144 2.144 0.000
N 2.144 2.144 2.144

***

No. 9
21
Lattice="10.096 0.000 0.000 -5.048 8.743 0.000 0.000 0.000 4.036" Properties=species:S:1:pos:R:3 comment="K2Si12Pt7 (GGA-PBE, optimized geometry)" spacegroup="P-3, No. 147" formation_energy_uncorrected_ev_per_atom=-0.377 crystal_system=trigonal pbc="T T T"
K 0.000 5.829 0.986
K 5.048 2.914 3.050
Si -2.453 5.502 3.086
Si -3.071 7.554 0.932
Si 0.041 2.307 0.932
Si 2.018 1.118 3.104
Si 1.510 3.868 3.086
Si 4.104 0.626 0.950
Si 0.944 8.117 3.086
Si 3.538 4.876 0.950
Si 3.030 7.625 0.932
Si 5.007 6.436 3.104
Si 8.119 1.189 3.104
Si 7.501 3.241 0.950
Pt 0.000 0.000 0.000
Pt -1.048 3.424 2.910
Pt -1.558 7.939 2.910
Pt 2.441 2.620 1.125
Pt 2.607 6.123 2.910
Pt 6.606 0.804 1.125
Pt 6.096 5.319 1.125

***

No. 10
6
Lattice="3.621 0.000 0.000 0.000 3.621 0.000 0.000 0.000 14.402" Properties=species:S:1:pos:R:3 comment="Sm4TmMg (GGA-PBE, optimized geometry)" e_form_mev_per_atom=-17 spacegroup="P4/mmm, No. 123" crystal_system=tetragonal polymorph_energy_kj_per_mol_atoms=0.0 pbc="T T T"
Sm 0.000 0.000 2.206
Sm 0.000 0.000 12.196
Sm 1.811 1.811 4.716
Sm 1.811 1.811 9.686
Tm 0.000 0.000 7.201
Mg 1.811 1.811 0.000

***

No. 11
8
Lattice="-2.124 2.124 5.264 2.124 -2.124 5.264 2.124 2.124 -5.264" Properties=species:S:1:pos:R:3 comment="YCuH2 (GGA-PBE, optimized geometry)" spacegroup="I-42d, No. 122" crystal_system=tetragonal polymorph_energy_kj_per_mol_atoms=8.3 pbc="T T T"
Y 0.000 0.000 0.000
Y 0.000 2.124 2.632
Cu 2.124 0.000 2.632
Cu 0.000 0.000 5.264
H 1.062 -0.557 3.948
H 1.567 1.062 1.316
H 1.062 2.681 -1.316
H 0.557 1.062 6.580

***

No. 12
13
Lattice="5.188 0.000 0.000 0.000 4.605 0.000 -2.292 0.000 17.714" Properties=species:S:1:pos:R:3 comment="HgBi4Pb8 (GGA-PBE, optimized geometry)" e_form_mev_per_atom=42 spacegroup="Pm, No. 6" crystal_system=monoclinic pbc="T T T"
Hg 0.000 0.000 0.000
Bi 0.599 0.000 10.160
Bi 3.036 2.303 4.917
Bi 2.464 0.000 12.960
Bi 4.883 2.303 2.168
Pb 0.058 2.303 7.539
Pb 0.459 0.000 4.758
Pb -0.028 2.303 12.985
Pb 0.305 0.000 15.707
Pb 2.475 0.000 2.006
Pb 2.647 0.000 7.471
Pb 3.112 2.303 10.255
Pb 2.818 2.303 15.505

***

Short version: Fermi-level density of states = 23.66 0.22 3.42 18.39 0.21 6.96 1.98 9.07 8.38 7.00 2.71 4.96 states/eV/f.u., in the order given.